A | A plane-wave DFT calculation with SCAN was carried out for a crystal of CePrO2 relaxed with PBEsol.

Cell: 3.5238 3.5238 6.0636 Å, 73.11 73.11 60.00°
Sites, in units of the cell vectors:
Pr: 0.5000 0.5000 0.5000
Ce: 0.0000 0.0000 0.0000
O: 0.2542 0.2542 0.2373
O: 0.7458 0.7458 0.7627

Density = 8.5 g cm⁻³

---

B | A plane-wave DFT calculation with SCAN was carried out for a crystal of CePrO2 relaxed with PBEsol.

Cell: 4.9774 4.9774 6.0812 Å, 114.16 114.16 90.00°
Sites, in units of the cell vectors:
Ce: 0.5000 0.5000 0.0000
Ce: 0.7500 0.2500 0.5000
Pr: 0.0000 0.0000 0.0000
Pr: 0.2500 0.7500 0.5000
O: 0.7463 0.7463 0.4926
O: 0.5037 0.0037 0.0074
O: 0.2537 0.2537 0.5074
O: 0.9963 0.4963 0.9926

Density = 8.5 g cm⁻³

---

Quick one: most stable of them? A

---

A | A plane-wave DFT calculation with SCAN was carried out for a crystal of CeTa7O19 relaxed with PBEsol.

Cell: 6.2294 6.2294 20.0584 Å, 90.00 90.00 120.00°
Sites, in units of the cell vectors:
Ce: 0.6667 0.3333 0.7500
Ce: 0.3333 0.6667 0.2500
Ta: 0.6402 0.6383 0.0947
Ta: 0.9981 0.3598 0.0947
Ta: 0.3617 0.0019 0.0947
Ta: 0.3617 0.3598 0.4053
Ta: 0.9981 0.6383 0.4053
Ta: 0.6402 0.0019 0.4053
Ta: 0.3598 0.3617 0.5947
Ta: 0.0019 0.6402 0.5947
Ta: 0.6383 0.9981 0.5947
Ta: 0.6383 0.6402 0.9053
Ta: 0.0019 0.3617 0.9053
Ta: 0.3598 0.9981 0.9053
Ta: 0.3333 0.6667 0.7500
Ta: 0.6667 0.3333 0.2500
O: 0.2485 0.2459 0.9035
O: 0.9974 0.7515 0.9035
O: 0.7541 0.0026 0.9035
O: 0.7541 0.7515 0.5965
O: 0.9974 0.2459 0.5965
O: 0.2485 0.0026 0.5965
O: 0.7515 0.7541 0.4035
O: 0.0026 0.2485 0.4035
O: 0.2459 0.9974 0.4035
O: 0.2459 0.2485 0.0965
O: 0.0026 0.7541 0.0965
O: 0.7515 0.9974 0.0965
O: 0.4264 0.3779 0.3057
O: 0.9515 0.5736 0.3057
O: 0.6221 0.0485 0.3057
O: 0.6221 0.5736 0.1943
O: 0.9515 0.3779 0.1943
O: 0.4264 0.0485 0.1943
O: 0.5736 0.6221 0.8057
O: 0.0485 0.4264 0.8057
O: 0.3779 0.9515 0.8057
O: 0.3779 0.4264 0.6943
O: 0.0485 0.6221 0.6943
O: 0.5736 0.9515 0.6943
O: 0.6667 0.3333 0.8832
O: 0.3333 0.6667 0.9093
O: 0.3333 0.6667 0.5907
O: 0.6667 0.3333 0.6168
O: 0.3333 0.6667 0.3832
O: 0.6667 0.3333 0.4093
O: 0.6667 0.3333 0.0907
O: 0.3333 0.6667 0.1168
O: 0.6031 0.6031 0.0000
O: 0.0000 0.3969 0.0000
O: 0.3969 0.0000 0.0000
O: 0.3969 0.3969 0.5000
O: 0.0000 0.6031 0.5000
O: 0.6031 0.0000 0.5000

Density = 8.4 g cm⁻³

---

B | A plane-wave DFT calculation with SCAN was carried out for a crystal of CeTa7O19 relaxed with PBEsol.

Cell: 6.2141 6.2141 20.0131 Å, 90.00 90.00 120.00°
Sites, in units of the cell vectors:
Ce: 0.0000 0.0000 0.0000
Ce: 0.0000 0.0000 0.5000
Ta: 0.3046 0.3336 0.8440
Ta: 0.0289 0.6954 0.8440
Ta: 0.3046 0.3336 0.6560
Ta: 0.3046 0.9711 0.3440
Ta: 0.6664 0.9711 0.8440
Ta: 0.0289 0.6954 0.6560
Ta: 0.0289 0.3336 0.3440
Ta: 0.3046 0.9711 0.1560
Ta: 0.6664 0.9711 0.6560
Ta: 0.0289 0.3336 0.1560
Ta: 0.6664 0.6954 0.3440
Ta: 0.6664 0.6954 0.1560
Ta: 0.3333 0.6667 0.0000
Ta: 0.3333 0.6667 0.5000
O: 0.2464 0.2875 0.7500
O: 0.0412 0.7536 0.7500
O: 0.2464 0.9588 0.2500
O: 0.7125 0.9588 0.7500
O: 0.0412 0.2875 0.2500
O: 0.7125 0.7536 0.2500
O: 0.9153 0.3334 0.8466
O: 0.4182 0.0847 0.8466
O: 0.9153 0.3334 0.6534
O: 0.9153 0.5818 0.3466
O: 0.6666 0.5818 0.8466
O: 0.4182 0.0847 0.6534
O: 0.4182 0.3334 0.3466
O: 0.9153 0.5818 0.1534
O: 0.6666 0.5818 0.6534
O: 0.4182 0.3334 0.1534
O: 0.6666 0.0847 0.3466
O: 0.6666 0.0847 0.1534
O: 0.3333 0.6667 0.8320
O: 0.3333 0.6667 0.6680
O: 0.3333 0.6667 0.3320
O: 0.3333 0.6667 0.1680
O: 0.0000 0.0000 0.8696
O: 0.0000 0.0000 0.6304
O: 0.0000 0.0000 0.3696
O: 0.0000 0.0000 0.1304
O: 0.2881 0.3838 0.9435
O: 0.0957 0.7119 0.9435
O: 0.2881 0.3838 0.5565
O: 0.2881 0.9043 0.4435
O: 0.6162 0.9043 0.9435
O: 0.0957 0.7119 0.5565
O: 0.0957 0.3838 0.4435
O: 0.2881 0.9043 0.0565
O: 0.6162 0.9043 0.5565
O: 0.0957 0.3838 0.0565
O: 0.6162 0.7119 0.4435
O: 0.6162 0.7119 0.0565

Density = 8.5 g cm⁻³

---

Quick one: most stable of them? B

---

A | A plane-wave DFT calculation with SCAN was carried out for a crystal of Ce2Y2O7 relaxed with PBEsol.

Cell: 3.7195 7.6630 10.7473 Å, 90.00 90.00 90.00°
Sites, in units of the cell vectors:
Ce: 0.0000 0.7500 0.2555
Ce: 0.0000 0.2500 0.7445
Ce: 0.5000 0.0000 0.0000
Ce: 0.5000 0.5000 0.0000
Y: 0.5000 0.5000 0.5000
Y: 0.0000 0.2500 0.2308
Y: 0.5000 0.0000 0.5000
Y: 0.0000 0.7500 0.7692
O: 0.0000 0.5413 0.6255
O: 0.5000 0.2500 0.8658
O: 0.5000 0.7500 0.8725
O: 0.0000 0.4897 0.8771
O: 0.0000 0.5103 0.1229
O: 0.0000 0.9897 0.1229
O: 0.5000 0.7500 0.1342
O: 0.5000 0.2500 0.1275
O: 0.5000 0.7500 0.3926
O: 0.0000 0.4587 0.3745
O: 0.0000 0.0413 0.3745
O: 0.0000 0.9587 0.6255
O: 0.5000 0.2500 0.6074
O: 0.0000 0.0103 0.8771

Density = 6.2 g cm⁻³

---

B | A plane-wave DFT calculation with SCAN was carried out for a crystal of Ce2Y2O7 relaxed with PBEsol.

Cell: 3.8003 3.8003 10.7152 Å, 90.00 90.00 90.00°
Sites, in units of the cell vectors:
Ce: 0.5000 0.0000 0.3737
Ce: 0.0000 0.5000 0.6263
Y: 0.5000 0.0000 0.8606
Y: 0.0000 0.5000 0.1394
O: 0.5000 0.5000 0.0000
O: 0.0000 0.0000 0.2331
O: 0.5000 0.5000 0.2580
O: 0.5000 0.5000 0.5000
O: 0.0000 0.0000 0.5000
O: 0.0000 0.0000 0.7669
O: 0.5000 0.5000 0.7420

Density = 6.1 g cm⁻³

---

Quick one: most stable of them? A

---

A | A plane-wave DFT calculation with SCAN was carried out for a crystal of CeZr7O16 relaxed with PBEsol.

Cell: 6.8237 7.3714 7.3933 Å, 90.54 116.53 116.52°
Sites, in units of the cell vectors:
Ce: 0.2936 0.5477 0.0160
Zr: 0.2077 0.9804 0.9439
Zr: 0.7130 0.9503 0.4941
Zr: 0.7098 0.4385 0.9841
Zr: 0.2054 0.4881 0.4469
Zr: 0.7862 0.5120 0.5523
Zr: 0.2888 0.0539 0.5122
Zr: 0.7935 0.0126 0.0575
O: 0.0203 0.8650 0.6082
O: 0.1464 0.5308 0.6841
O: 0.8541 0.9838 0.8087
O: 0.3444 0.8055 0.4690
O: 0.3525 0.2937 0.9643
O: 0.9685 0.6365 0.8873
O: 0.4735 0.3889 0.6338
O: 0.4890 0.9046 0.1411
O: 0.5212 0.0992 0.8580
O: 0.5246 0.6119 0.3780
O: 0.0081 0.3581 0.1150
O: 0.6571 0.1981 0.5318
O: 0.6638 0.6969 0.0205
O: 0.1596 0.0326 0.1961
O: 0.8392 0.4773 0.3018
O: 0.9796 0.1338 0.3951

Density = 6.0 g cm⁻³

---

B | A plane-wave DFT calculation with SCAN was carried out for a crystal of CeZr7O16 relaxed with PBEsol.

Cell: 5.1904 7.2405 7.2405 Å, 90.00 90.00 90.00°
Sites, in units of the cell vectors:
Ce: 0.0000 0.0000 0.0000
Zr: 0.5000 0.7473 0.2527
Zr: 0.9977 0.5000 0.0000
Zr: 0.5000 0.2527 0.2527
Zr: 0.0023 0.0000 0.5000
Zr: 0.5000 0.7473 0.7473
Zr: 0.0000 0.5000 0.5000
Zr: 0.5000 0.2527 0.7473
O: 0.7772 0.0000 0.2673
O: 0.7059 0.7521 0.0000
O: 0.2228 0.7327 0.0000
O: 0.2941 0.0000 0.2479
O: 0.7980 0.5000 0.2435
O: 0.7059 0.2479 0.0000
O: 0.2228 0.2673 0.0000
O: 0.2978 0.5000 0.2693
O: 0.7772 0.0000 0.7327
O: 0.7022 0.7307 0.5000
O: 0.2020 0.7565 0.5000
O: 0.2941 0.0000 0.7521
O: 0.7980 0.5000 0.7565
O: 0.7022 0.2693 0.5000
O: 0.2020 0.2435 0.5000
O: 0.2978 0.5000 0.7307

Density = 6.3 g cm⁻³

---

Quick one: most stable of them? A

---

A | A plane-wave DFT calculation with SCAN was carried out for a crystal of CeZnPd relaxed with PBEsol.

Cell: 3.9613 7.1479 7.1479 Å, 120.00 90.00 90.00°
Sites, in units of the cell vectors:
Ce: 0.0000 0.0000 0.4131
Ce: 0.0000 0.4131 0.0000
Ce: 0.0000 0.5869 0.5869
Zn: 0.5000 0.0000 0.7585
Zn: 0.5000 0.7585 0.0000
Zn: 0.5000 0.2415 0.2415
Pd: 0.0000 0.0000 0.0000
Pd: 0.5000 0.3333 0.6667
Pd: 0.5000 0.6667 0.3333

Density = 8.9 g cm⁻³

---

B | A plane-wave DFT calculation with SCAN was carried out for a crystal of CeZnPd relaxed with PBEsol.

Cell: 4.3929 6.6644 7.8760 Å, 90.00 90.00 90.00°
Sites, in units of the cell vectors:
Ce: 0.7500 0.4692 0.1982
Ce: 0.2500 0.5308 0.8018
Ce: 0.7500 0.9692 0.3018
Ce: 0.2500 0.0308 0.6982
Zn: 0.7500 0.8435 0.9309
Zn: 0.2500 0.1565 0.0691
Zn: 0.7500 0.3435 0.5691
Zn: 0.2500 0.6565 0.4309
Pd: 0.2500 0.2589 0.3947
Pd: 0.7500 0.7411 0.6053
Pd: 0.2500 0.7589 0.1053
Pd: 0.7500 0.2411 0.8947

Density = 9.0 g cm⁻³

---

Quick one: most stable of them? B

---

A | A plane-wave DFT calculation with SCAN was carried out for a crystal of Tb3Ce relaxed with PBEsol.

Cell: 3.4614 3.4614 11.2804 Å, 90.00 90.00 120.00°
Sites, in units of the cell vectors:
Tb: 0.3333 0.6667 0.5000
Tb: 0.6667 0.3333 0.7516
Tb: 0.6667 0.3333 0.2485
Ce: 0.3333 0.6667 0.0000

Density = 8.8 g cm⁻³

---

B | A plane-wave DFT calculation with SCAN was carried out for a crystal of Tb3Ce relaxed with PBEsol.

Cell: 5.6099 6.9863 6.9863 Å, 120.00 90.00 90.00°
Sites, in units of the cell vectors:
Tb: 0.2500 0.6644 0.8322
Tb: 0.2500 0.1678 0.3356
Tb: 0.2500 0.1678 0.8322
Tb: 0.7500 0.3356 0.1678
Tb: 0.7500 0.8322 0.6644
Tb: 0.7500 0.8322 0.1678
Ce: 0.7500 0.3333 0.6667
Ce: 0.2500 0.6667 0.3333

Density = 8.6 g cm⁻³

---

Quick one: most stable of them? A